(1)
The following is a PBE calculation of a relaxed structure of Re2NiSb, from Alexandria.

Cell: 8.938 3.083 4.669 Å, 90.00 99.56 90.00°
Fractional coordinates of all 8 atoms:
Re  0.234  0.000  0.209
Re  0.266  0.500  0.791
Re  0.734  0.500  0.209
Re  0.766  0.000  0.791
Ni  0.000  0.500  0.000
Ni  0.500  0.000  0.000
Sb  0.000  0.000  0.500
Sb  0.500  0.500  0.500

Its raw formation energy is 1.5 eV per formula unit. As for the symmetry: No. 12.

(2)
The following is a PBE calculation of a relaxed structure of Re2NiSb, from Alexandria.

Cell: 2.949 2.949 25.022 Å, 90.00 90.00 120.00°
Fractional coordinates of all 12 atoms:
Re  0.000  0.000  0.245
Re  0.000  0.000  0.755
Re  0.333  0.667  0.421
Re  0.333  0.667  0.912
Re  0.667  0.333  0.088
Re  0.667  0.333  0.579
Ni  0.000  0.000  0.500
Ni  0.333  0.667  0.167
Ni  0.667  0.333  0.833
Sb  0.000  0.000  0.000
Sb  0.333  0.667  0.667
Sb  0.667  0.333  0.333

Its raw formation energy is 2.6 eV per formula unit. As for the symmetry: No. 166.